Record 1
Density functional theory data (GGA-PBE) for a relaxed SiC2O crystal.

## Properties
As for the symmetry: I-42d. The calculation puts the energy above the most stable polymorph in this dataset at 0.00 eV/f.u. For the density of states at the Fermi level, the calculation gives 0.56 states/eV per cell.

Lattice parameters (Å, degrees): 5.3373 5.3373 5.3373 133.24 133.24 68.28
With the nearest neighbours (Å) after each atom.
Fractional positions:
Si (0.0000, 0.0000, 0.0000)  4 C 1.86
Si (0.7500, 0.2500, 0.5000)  4 C 1.86
C (0.1241, 0.6250, 0.9991)  2 Si 1.86, 2 O 1.86
C (0.3750, 0.3741, 0.4991)  2 Si 1.86, 2 O 1.86
C (0.6259, 0.1250, 0.0009)  2 Si 1.86, 2 O 1.86
C (0.8750, 0.8759, 0.5009)  2 Si 1.86, 2 O 1.86
O (0.2500, 0.7500, 0.5000)  4 C 1.86
O (0.5000, 0.5000, 0.0000)  4 C 1.86

Record 2
Density functional theory data (GGA-PBE) for a relaxed SiC3O crystal.

## Properties
As for the symmetry: Pm-3m. The calculation puts the energy above the most stable polymorph in this dataset at 2.36 eV/f.u. For the density of states at the Fermi level, the calculation gives 2.99 states/eV per cell.

Lattice parameters (Å, degrees): 3.5685 3.5685 3.5685 90.00 90.00 90.00
With the nearest neighbours (Å) after each atom.
Fractional positions:
Si (0.0000, 0.0000, 0.0000)  12 C 2.52
C (0.0000, 0.5000, 0.5000)  2 O 1.78
C (0.5000, 0.0000, 0.5000)  2 O 1.78
C (0.5000, 0.5000, 0.0000)  2 O 1.78
O (0.5000, 0.5000, 0.5000)  6 C 1.78

Record 3
Density functional theory data (GGA-PBE) for a relaxed Si17CO34 crystal.

## Properties
As for the symmetry: Fd-3m. For the density of states at the Fermi level, the calculation gives 24.15 states/eV per cell.

Lattice parameters (Å, degrees): 14.1521 14.1521 14.1521 60.00 60.00 60.00
With the nearest neighbours (Å) after each atom.
Fractional positions:
Si (0.0057, 0.2358, 0.6292)  4 O 1.61-1.63
Si (0.0057, 0.6292, 0.2358)  4 O 1.61-1.63
Si (0.0057, 0.6292, 0.6292)  4 O 1.61-1.63
Si (0.1250, 0.1250, 0.1250)  4 O 1.60
Si (0.1518, 0.7827, 0.7827)  4 O 1.60-1.61
Si (0.2173, 0.2173, 0.2173)  4 O 1.60-1.61
Si (0.2173, 0.2173, 0.8482)  4 O 1.60-1.61
Si (0.2173, 0.8482, 0.2173)  4 O 1.60-1.61
Si (0.2358, 0.0057, 0.6292)  4 O 1.61-1.63
Si (0.2358, 0.6292, 0.0057)  4 O 1.61-1.63
Si (0.2358, 0.6292, 0.6292)  4 O 1.61-1.63
Si (0.3708, 0.3708, 0.7642)  4 O 1.61-1.63
Si (0.3708, 0.3708, 0.9943)  4 O 1.61-1.63
Si (0.3708, 0.7642, 0.3708)  4 O 1.61-1.63
Si (0.3708, 0.7642, 0.9943)  4 O 1.61-1.63
Si (0.3708, 0.9943, 0.3708)  4 O 1.61-1.63
Si (0.3708, 0.9943, 0.7642)  4 O 1.61-1.63
Si (0.6292, 0.0057, 0.2358)  4 O 1.61-1.63
Si (0.6292, 0.0057, 0.6292)  4 O 1.61-1.63
Si (0.6292, 0.2358, 0.0057)  4 O 1.61-1.63
Si (0.6292, 0.2358, 0.6292)  4 O 1.61-1.63
Si (0.6292, 0.6292, 0.0057)  4 O 1.61-1.63
Si (0.6292, 0.6292, 0.2358)  4 O 1.61-1.63
Si (0.7642, 0.3708, 0.3708)  4 O 1.61-1.63
Si (0.7642, 0.3708, 0.9943)  4 O 1.61-1.63
Si (0.7642, 0.9943, 0.3708)  4 O 1.61-1.63
Si (0.7827, 0.1518, 0.7827)  4 O 1.60-1.61
Si (0.7827, 0.7827, 0.1518)  4 O 1.60-1.61
Si (0.7827, 0.7827, 0.7827)  4 O 1.60-1.61
Si (0.8482, 0.2173, 0.2173)  4 O 1.60-1.61
Si (0.8750, 0.8750, 0.8750)  4 O 1.60
Si (0.9943, 0.3708, 0.3708)  4 O 1.61-1.63
Si (0.9943, 0.3708, 0.7642)  4 O 1.61-1.63
Si (0.9943, 0.7642, 0.3708)  4 O 1.61-1.63
C (0.3750, 0.3750, 0.3750)  42 O 5.03-5.19, 28 Si 5.34-5.47
C (0.6250, 0.6250, 0.6250)  42 O 5.03-5.19, 28 Si 5.34-5.47
O (0.0000, 0.3146, 0.5000)  2 Si 1.62
O (0.0000, 0.3146, 0.6854)  2 Si 1.62
O (0.0000, 0.5000, 0.3146)  2 Si 1.62
O (0.0000, 0.5000, 0.6854)  2 Si 1.62
O (0.0000, 0.6854, 0.3146)  2 Si 1.62
O (0.0000, 0.6854, 0.5000)  2 Si 1.62
O (0.0133, 0.8289, 0.8289)  2 Si 1.60
O (0.1071, 0.2943, 0.2943)  2 Si 1.61
O (0.1071, 0.2943, 0.8043)  2 Si 1.61
O (0.1071, 0.8043, 0.2943)  2 Si 1.61
O (0.1238, 0.1238, 0.6262)  2 Si 1.63
O (0.1238, 0.6262, 0.1238)  2 Si 1.63
O (0.1238, 0.6262, 0.6262)  2 Si 1.63
O (0.1711, 0.1711, 0.1711)  2 Si 1.60
O (0.1711, 0.1711, 0.9867)  2 Si 1.60
O (0.1711, 0.9867, 0.1711)  2 Si 1.60
O (0.1957, 0.7057, 0.7057)  2 Si 1.61
O (0.1957, 0.7057, 0.8929)  2 Si 1.61
O (0.1957, 0.8929, 0.7057)  2 Si 1.61
O (0.2943, 0.1071, 0.2943)  2 Si 1.61
O (0.2943, 0.1071, 0.8043)  2 Si 1.61
O (0.2943, 0.2943, 0.1071)  2 Si 1.61
O (0.2943, 0.2943, 0.8043)  2 Si 1.61
O (0.2943, 0.8043, 0.1071)  2 Si 1.61
O (0.2943, 0.8043, 0.2943)  2 Si 1.61
O (0.3146, 0.0000, 0.5000)  2 Si 1.62
O (0.3146, 0.0000, 0.6854)  2 Si 1.62
O (0.3146, 0.5000, 0.0000)  2 Si 1.62
O (0.3146, 0.5000, 0.6854)  2 Si 1.62
O (0.3146, 0.6854, 0.0000)  2 Si 1.62
O (0.3146, 0.6854, 0.5000)  2 Si 1.62
O (0.3738, 0.3738, 0.8762)  2 Si 1.63
O (0.3738, 0.8762, 0.3738)  2 Si 1.63
O (0.3738, 0.8762, 0.8762)  2 Si 1.63
O (0.5000, 0.0000, 0.3146)  2 Si 1.62
O (0.5000, 0.0000, 0.6854)  2 Si 1.62
O (0.5000, 0.3146, 0.0000)  2 Si 1.62
O (0.5000, 0.3146, 0.6854)  2 Si 1.62
O (0.5000, 0.6854, 0.0000)  2 Si 1.62
O (0.5000, 0.6854, 0.3146)  2 Si 1.62
O (0.6262, 0.1238, 0.1238)  2 Si 1.63
O (0.6262, 0.1238, 0.6262)  2 Si 1.63
O (0.6262, 0.6262, 0.1238)  2 Si 1.63
O (0.6854, 0.0000, 0.3146)  2 Si 1.62
O (0.6854, 0.0000, 0.5000)  2 Si 1.62
O (0.6854, 0.3146, 0.0000)  2 Si 1.62
O (0.6854, 0.3146, 0.5000)  2 Si 1.62
O (0.6854, 0.5000, 0.0000)  2 Si 1.62
O (0.6854, 0.5000, 0.3146)  2 Si 1.62
O (0.7057, 0.1957, 0.7057)  2 Si 1.61
O (0.7057, 0.1957, 0.8929)  2 Si 1.61
O (0.7057, 0.7057, 0.1957)  2 Si 1.61
O (0.7057, 0.7057, 0.8929)  2 Si 1.61
O (0.7057, 0.8929, 0.1957)  2 Si 1.61
O (0.7057, 0.8929, 0.7057)  2 Si 1.61
O (0.8043, 0.1071, 0.2943)  2 Si 1.61
O (0.8043, 0.2943, 0.1071)  2 Si 1.61
O (0.8043, 0.2943, 0.2943)  2 Si 1.61
O (0.8289, 0.0133, 0.8289)  2 Si 1.60
O (0.8289, 0.8289, 0.0133)  2 Si 1.60
O (0.8289, 0.8289, 0.8289)  2 Si 1.60
O (0.8762, 0.3738, 0.3738)  2 Si 1.63
O (0.8762, 0.3738, 0.8762)  2 Si 1.63
O (0.8762, 0.8762, 0.3738)  2 Si 1.63
O (0.8929, 0.1957, 0.7057)  2 Si 1.61
O (0.8929, 0.7057, 0.1957)  2 Si 1.61
O (0.8929, 0.7057, 0.7057)  2 Si 1.61
O (0.9867, 0.1711, 0.1711)  2 Si 1.60

Record 4
Density functional theory data (GGA-PBE) for a relaxed SiC2O crystal.

## Properties
As for the symmetry: Fm-3m. The calculation puts the energy above the most stable polymorph in this dataset at 4.60 eV/f.u. For the density of states at the Fermi level, the calculation gives 2.62 states/eV per cell.

Lattice parameters (Å, degrees): 3.6462 3.6462 3.6462 60.00 60.00 60.00
With the nearest neighbours (Å) after each atom.
Fractional positions:
Si (0.0000, 0.0000, 0.0000)  8 C 2.23
C (0.2500, 0.2500, 0.2500)  4 O 2.23, 4 Si 2.23
C (0.7500, 0.7500, 0.7500)  4 O 2.23, 4 Si 2.23
O (0.5000, 0.5000, 0.5000)  8 C 2.23

Record 5
Density functional theory data (GGA-PBE) for a relaxed Si2SnCO crystal.

## Properties
As for the symmetry: P4/mmm. For the density of states at the Fermi level, the calculation gives 3.15 states/eV per cell.

Lattice parameters (Å, degrees): 5.2502 5.2502 4.0554 90.00 90.00 90.00
With the nearest neighbours (Å) after each atom.
Fractional positions:
Si (0.0000, 0.5000, 0.0000)  2 Sn 2.63
Si (0.5000, 0.0000, 0.0000)  2 Sn 2.63
Sn (0.0000, 0.0000, 0.0000)  2 C 2.03
C (0.0000, 0.0000, 0.5000)  2 Sn 2.03
O (0.5000, 0.5000, 0.5000)  8 Si 3.32, 4 C 3.71

Record 6
Density functional theory data (GGA-PBE) for a relaxed Ti2SiCO crystal.

## Properties
As for the symmetry: P4/mmm. For the density of states at the Fermi level, the calculation gives 4.26 states/eV per cell.

Lattice parameters (Å, degrees): 4.6136 4.6136 3.4245 90.00 90.00 90.00
With the nearest neighbours (Å) after each atom.
Fractional positions:
Ti (0.0000, 0.5000, 0.0000)  2 Si 2.31
Ti (0.5000, 0.0000, 0.0000)  2 Si 2.31
Si (0.0000, 0.0000, 0.0000)  2 C 1.71
C (0.0000, 0.0000, 0.5000)  2 Si 1.71
O (0.5000, 0.5000, 0.5000)  8 Ti 2.87

Record 7
Density functional theory data (GGA-PBE) for a relaxed Y2SiCO7 crystal.

## Properties
As for the symmetry: P-1. For the density of states at the Fermi level, the calculation gives 0.00 states/eV per cell.

Lattice parameters (Å, degrees): 6.5334 6.6529 6.7241 95.65 116.36 92.72
With the nearest neighbours (Å) after each atom.
Fractional positions:
Y (0.2459, 0.3303, 0.3127)  7 O 2.26-2.46
Y (0.2493, 0.0851, 0.7989)  8 O 2.31-2.50
Y (0.7507, 0.9149, 0.2011)  8 O 2.31-2.50
Y (0.7541, 0.6697, 0.6873)  7 O 2.26-2.46
Si (0.2347, 0.8412, 0.2567)  4 O 1.63-1.68
Si (0.7653, 0.1588, 0.7433)  4 O 1.63-1.68
C (0.3041, 0.5886, 0.7659)  3 O 1.29-1.31
C (0.6959, 0.4114, 0.2341)  3 O 1.29-1.31
O (0.0233, 0.2462, 0.9399)  1 Si 1.64
O (0.1544, 0.7137, 0.7495)  1 C 1.29
O (0.1679, 0.0154, 0.4111)  1 Si 1.68
O (0.2356, 0.4019, 0.6663)  1 C 1.31
O (0.3692, 0.6663, 0.4038)  1 Si 1.63
O (0.3862, 0.9648, 0.1583)  1 Si 1.64
O (0.4791, 0.3516, 0.1242)  1 C 1.29
O (0.5209, 0.6484, 0.8758)  1 C 1.29
O (0.6138, 0.0352, 0.8417)  1 Si 1.64
O (0.6308, 0.3337, 0.5962)  1 Si 1.63
O (0.7644, 0.5981, 0.3337)  1 C 1.31
O (0.8321, 0.9846, 0.5889)  1 Si 1.68
O (0.8456, 0.2863, 0.2505)  1 C 1.29
O (0.9767, 0.7538, 0.0601)  1 Si 1.64

Record 8
Density functional theory data (GGA-PBE) for a relaxed Sm2CO crystal.

## Properties
As for the symmetry: R3m. The calculation puts the energy above the most stable polymorph in this dataset at 0.58 eV/f.u. For the density of states at the Fermi level, the calculation gives 0.20 states/eV per cell.

Lattice parameters (Å, degrees): 6.5283 6.5283 6.5283 31.87 31.87 31.87
With the nearest neighbours (Å) after each atom.
Fractional positions:
Sm (0.0000, 0.0000, 0.0000)  3 O 2.50, 3 C 2.58
Sm (0.1769, 0.1769, 0.1769)  3 C 2.48
C (0.5839, 0.5839, 0.5839)  6 Sm 2.48-2.58
O (0.4090, 0.4090, 0.4090)  6 Sm 2.50-2.80

Record 9
Density functional theory data (GGA-PBE) for a relaxed Sm4CO crystal.

## Properties
As for the symmetry: P2/m. For the density of states at the Fermi level, the calculation gives 5.05 states/eV per cell.

Lattice parameters (Å, degrees): 6.2367 3.6424 6.2767 90.00 95.33 90.00
With the nearest neighbours (Å) after each atom.
Fractional positions:
Sm (0.1470, 0.0000, 0.2761)  1 O 2.50, 2 C 2.52
Sm (0.3516, 0.5000, 0.7199)  1 C 2.48, 2 O 2.51
Sm (0.6484, 0.5000, 0.2801)  1 C 2.48, 2 O 2.51
Sm (0.8530, 0.0000, 0.7239)  1 O 2.50, 2 C 2.52
C (0.0000, 0.5000, 0.5000)  6 Sm 2.48-2.52
O (0.5000, 0.0000, 0.5000)  6 Sm 2.50-2.51

Record 10
Density functional theory data (GGA-PBE) for a relaxed Sm6C2O crystal.

## Properties
As for the symmetry: Pnnm. The calculation puts the energy above the most stable polymorph in this dataset at 0.40 eV/f.u. For the density of states at the Fermi level, the calculation gives 17.68 states/eV per cell.

Lattice parameters (Å, degrees): 6.0692 6.2581 10.8616 90.00 90.00 90.00
With the nearest neighbours (Å) after each atom.
Fractional positions:
Sm (0.2267, 0.1636, 0.0000)  1 O 2.52, 2 C 2.52
Sm (0.2434, 0.6632, 0.1653)  1 O 2.54, 2 C 2.57-2.58
Sm (0.2434, 0.6632, 0.8347)  1 O 2.54, 2 C 2.57-2.58
Sm (0.2566, 0.1632, 0.3347)  1 O 2.54, 2 C 2.57-2.58
Sm (0.2566, 0.1632, 0.6653)  1 O 2.54, 2 C 2.57-2.58
Sm (0.2733, 0.6636, 0.5000)  1 O 2.52, 2 C 2.52
Sm (0.7267, 0.3364, 0.5000)  1 O 2.52, 2 C 2.52
Sm (0.7434, 0.8368, 0.3347)  1 O 2.54, 2 C 2.57-2.58
Sm (0.7434, 0.8368, 0.6653)  1 O 2.54, 2 C 2.57-2.58
Sm (0.7566, 0.3368, 0.1653)  1 O 2.54, 2 C 2.57-2.58
Sm (0.7566, 0.3368, 0.8347)  1 O 2.54, 2 C 2.57-2.58
Sm (0.7733, 0.8364, 0.0000)  1 O 2.52, 2 C 2.52
C (0.0000, 0.0000, 0.1704)  6 Sm 2.52-2.58
C (0.0000, 0.0000, 0.8296)  6 Sm 2.52-2.58
C (0.5000, 0.5000, 0.3296)  6 Sm 2.52-2.58
C (0.5000, 0.5000, 0.6704)  6 Sm 2.52-2.58
O (0.0000, 0.5000, 0.0000)  6 Sm 2.52-2.54
O (0.5000, 0.0000, 0.5000)  6 Sm 2.52-2.54

Record 11
Density functional theory data (GGA-PBE) for a relaxed Sm5CO5 crystal.

## Properties
As for the symmetry: C2/m. For the density of states at the Fermi level, the calculation gives 2.91 states/eV per cell.

Lattice parameters (Å, degrees): 6.1596 6.1596 7.0840 107.18 107.18 47.13
With the nearest neighbours (Å) after each atom.
Fractional positions:
Sm (0.0000, 0.0000, 0.0000)  2 C 2.46, 4 O 2.51-2.56
Sm (0.3348, 0.3348, 0.6659)  5 O 2.47-2.52, 1 C 2.50
Sm (0.3444, 0.3444, 0.1802)  5 O 2.38-2.48, 1 C 2.48
Sm (0.6556, 0.6556, 0.8198)  5 O 2.38-2.48, 1 C 2.48
Sm (0.6652, 0.6652, 0.3341)  5 O 2.47-2.52, 1 C 2.50
C (0.5000, 0.5000, 0.0000)  6 Sm 2.46-2.50
O (0.1783, 0.1783, 0.3225)  5 Sm 2.40-2.51
O (0.1810, 0.1810, 0.8560)  5 Sm 2.44-2.56
O (0.5000, 0.5000, 0.5000)  4 Sm 2.38-2.51
O (0.8190, 0.8190, 0.1440)  5 Sm 2.44-2.56
O (0.8217, 0.8217, 0.6775)  5 Sm 2.40-2.51

Record 12
Density functional theory data (GGA-PBE) for a relaxed Sm3CO6 crystal.

## Properties
As for the symmetry: Cmc2_1.

Lattice parameters (Å, degrees): 7.1464 7.1464 5.9129 90.00 90.00 102.66
With the nearest neighbours (Å) after each atom.
Fractional positions:
Sm (0.0990, 0.9010, 0.5000)  5 O 2.24-2.35
Sm (0.1871, 0.4126, 0.5319)  4 O 2.24-2.41
Sm (0.4126, 0.1871, 0.0319)  4 O 2.24-2.41
Sm (0.5874, 0.8129, 0.5319)  4 O 2.24-2.41
Sm (0.8129, 0.5874, 0.0319)  4 O 2.24-2.41
Sm (0.9010, 0.0990, 0.0000)  5 O 2.24-2.35
C (0.3180, 0.6820, 0.1523)  3 O 1.39-1.40
C (0.6820, 0.3180, 0.6523)  3 O 1.39-1.40
O (0.1242, 0.6151, 0.2004)  1 C 1.39
O (0.1534, 0.1719, 0.2636)  4 Sm 2.29-2.35
O (0.1719, 0.1534, 0.7636)  4 Sm 2.29-2.35
O (0.2833, 0.7167, 0.6494)  3 Sm 2.24
O (0.3849, 0.8758, 0.2004)  1 C 1.39
O (0.4352, 0.5648, 0.2388)  1 C 1.40
O (0.5648, 0.4352, 0.7388)  1 C 1.40
O (0.6151, 0.1242, 0.7004)  1 C 1.39
O (0.7167, 0.2833, 0.1494)  3 Sm 2.24
O (0.8281, 0.8466, 0.2636)  4 Sm 2.29-2.35
O (0.8466, 0.8281, 0.7636)  4 Sm 2.29-2.35
O (0.8758, 0.3849, 0.7004)  1 C 1.39

| no. | raw formation energy (meV/atom) |
| --- | --- |
| 1 | 1220 |
| 2 | 2979 |
| 3 | -2581 |
| 4 | 2369 |
| 5 | 2122 |
| 6 | 692 |
| 7 | -2847 |
| 8 | -1418 |
| 9 | -962 |
| 10 | -660 |
| 11 | -2548 |
| 12 | -2664 |